Version i
Entry from the Alexandria database: crystalline Ho2CdSn4 at its relaxed geometry (PBE).

abc: 4.4433 4.4433 9.5647
angles: 90.00 90.00 90.00
Closest atoms and distances in Å follow each position.
Positions (direct):
Ho (0.5000, 0.0000, 0.7579)  8 Sn 3.17-3.32, 2 Cd 3.21
Ho (0.0000, 0.5000, 0.2421)  8 Sn 3.17-3.32, 2 Cd 3.21
Cd (0.5000, 0.5000, 0.0000)  4 Sn 2.90, 4 Ho 3.21
Sn (0.5000, 0.0000, 0.1943)  2 Cd 2.90, 4 Ho 3.17
Sn (0.0000, 0.5000, 0.8057)  2 Cd 2.90, 4 Ho 3.17
Sn (0.5000, 0.5000, 0.5000)  4 Sn 3.14, 4 Ho 3.32
Sn (0.0000, 0.0000, 0.5000)  4 Sn 3.14, 4 Ho 3.32

Values from the calculation:
theoretical density	8.065	g cm⁻³

=====

Version ii
Entry from the Alexandria database: crystalline Ho2CdSn4 at its relaxed geometry (PBE).

abc: 4.5645 6.4485 6.4485
angles: 92.17 90.00 90.00
Closest atoms and distances in Å follow each position.
Positions (direct):
Ho (0.0000, 0.7539, 0.2461)  8 Sn 3.16-3.29, 2 Cd 3.28
Ho (0.0000, 0.2461, 0.7539)  8 Sn 3.16-3.29, 2 Cd 3.28
Sn (0.0000, 0.7567, 0.7567)  4 Ho 3.16-3.29, 2 Cd 3.24, 4 Sn 3.26
Sn (0.0000, 0.2433, 0.2433)  4 Ho 3.16-3.29, 2 Cd 3.24, 4 Sn 3.26
Sn (0.5000, 0.0000, 0.5000)  4 Ho 3.20, 2 Cd 3.22, 4 Sn 3.26
Sn (0.5000, 0.5000, 0.0000)  4 Ho 3.20, 2 Cd 3.22, 4 Sn 3.26
Cd (0.5000, 0.5000, 0.5000)  8 Sn 3.22-3.24, 4 Ho 3.28

Values from the calculation:
theoretical density	8.029	g cm⁻³

=====

Going by the computed energies, the most stable comes first: version ii, version i.